The following is a PBEsol calculation of a relaxed GeP2IrO crystal, from Alexandria.

Results
- raw formation energy (meV/atom) = 589
- space group = No. 123
- total moment (μB per cell) = 0.00
- calculated volume (Å³/atom) = 14.9

abc: 3.3932 4.6822 4.6822
angles: 90.00 90.00 90.00
Fractional positions:
P  0.0000  0.0000  0.5000
P  0.0000  0.5000  0.0000
Ge  0.0000  0.0000  0.0000
Ir  0.5000  0.5000  0.5000
O  0.5000  0.0000  0.0000